(1)
# YErAgSn (PBE-GGA, optimized geometry)
# - final energy (eV/cell) = -79.745
# - Fermi-level density of states (states/eV/atom) = 0.92
# - crystal system = cubic
# - ΔH_f (0 K) (kJ/mol of formula units) = -198
data_YErAgSn
_chemical_formula_sum 'Y4 Er4 Ag4 Sn4'
_cell_length_a 7.374
_cell_length_b 7.374
_cell_length_c 7.374
_cell_angle_alpha 90.00
_cell_angle_beta 90.00
_cell_angle_gamma 90.00
_space_group_name_H-M_alt 'F -4 3 m'
_space_group_IT_number 216
_space_group_name_Hall 'F -4 2 3'
loop_
_atom_site_label
_atom_site_type_symbol
_atom_site_fract_x
_atom_site_fract_y
_atom_site_fract_z
_atom_site_occupancy
Y1 Y 0.000 0.000 0.000 1
Er1 Er 0.000 0.000 0.500 1
Ag1 Ag 0.250 0.250 0.750 1
Sn1 Sn 0.250 0.250 0.250 1

---

(2)
# TaH2Cl (PBE-GGA, optimized geometry)
# - final energy (eV/cell) = -43.787
# - ΔE to the lowest computed polymorph (meV/atom) = 0.0
# - Fermi-level density of states (states/eV/atom) = 0.06
# - crystal system = monoclinic
data_TaH2Cl
_chemical_formula_sum 'Ta2 H4 Cl2'
_cell_length_a 4.899
_cell_length_b 3.161
_cell_length_c 7.959
_cell_angle_alpha 90.00
_cell_angle_beta 90.86
_cell_angle_gamma 90.00
_space_group_name_H-M_alt 'P 1 21/m 1'
_space_group_IT_number 11
loop_
_space_group_symop_operation_xyz
'x,y,z'
'-x,-y,-z'
'-x,y+1/2,-z'
'x,-y+1/2,z'
loop_
_atom_site_label
_atom_site_type_symbol
_atom_site_fract_x
_atom_site_fract_y
_atom_site_fract_z
_atom_site_occupancy
Ta1 Ta 0.248 0.250 0.049 1
H1 H 0.148 0.750 0.911 1
H2 H 0.474 0.750 0.116 1
Cl1 Cl 0.245 0.250 0.339 1

---

(3)
# Na2BiPb2 (PBE-GGA, optimized geometry)
# - final energy (eV/cell) = -58.639
# - ΔE to the lowest computed polymorph (meV/atom) = 0.0
# - Fermi-level density of states (states/eV/atom) = 0.36
# - crystal system = monoclinic
# - ΔH_f (0 K) (kJ/mol of formula units) = -70
data_Na2BiPb2
_chemical_formula_sum 'Na8 Bi4 Pb8'
_cell_length_a 12.358
_cell_length_b 5.665
_cell_length_c 9.429
_cell_angle_alpha 90.00
_cell_angle_beta 108.44
_cell_angle_gamma 90.00
_space_group_name_H-M_alt 'C 1 2/m 1'
_space_group_IT_number 12
loop_
_space_group_symop_operation_xyz
'x,y,z'
'-x,-y,-z'
'-x,y,-z'
'x,-y,z'
'x+1/2,y+1/2,z'
'-x+1/2,-y+1/2,-z'
'-x+1/2,y+1/2,-z'
'x+1/2,-y+1/2,z'
loop_
_atom_site_label
_atom_site_type_symbol
_atom_site_fract_x
_atom_site_fract_y
_atom_site_fract_z
_atom_site_occupancy
Na1 Na 0.058 0.000 0.352 1
Na2 Na 0.162 0.000 0.044 1
Bi1 Bi 0.240 0.000 0.727 1
Pb1 Pb 0.017 0.500 0.844 1
Pb2 Pb 0.140 0.500 0.563 1

---

(4)
# Ho7GeS5 (PBE-GGA, optimized geometry)
# - final energy (eV/cell) = -316.715
# - Fermi-level density of states (states/eV/atom) = 0.47
# - crystal system = monoclinic
# - uncorrected formation energy (eV/atom) = -1.68
data_Ho7GeS5
_chemical_formula_sum 'Ho28 Ge4 S20'
_cell_length_a 12.695
_cell_length_b 3.922
_cell_length_c 23.055
_cell_angle_alpha 90.00
_cell_angle_beta 90.02
_cell_angle_gamma 90.00
_space_group_name_H-M_alt 'C 1 2/m 1'
_space_group_IT_number 12
loop_
_space_group_symop_operation_xyz
'x,y,z'
'-x,-y,-z'
'-x,y,-z'
'x,-y,z'
'x+1/2,y+1/2,z'
'-x+1/2,-y+1/2,-z'
'-x+1/2,y+1/2,-z'
'x+1/2,-y+1/2,z'
loop_
_atom_site_label
_atom_site_type_symbol
_atom_site_fract_x
_atom_site_fract_y
_atom_site_fract_z
_atom_site_occupancy
Ho1 Ho 0.031 0.000 0.250 1
Ho2 Ho 0.092 0.500 0.387 1
Ho3 Ho 0.093 0.500 0.113 1
Ho4 Ho 0.138 0.000 0.537 1
Ho5 Ho 0.138 0.000 0.963 1
Ho6 Ho 0.186 0.500 0.678 1
Ho7 Ho 0.186 0.500 0.822 1
Ge1 Ge 0.196 0.500 0.250 1
S1 S 0.000 0.500 0.000 1
S2 S 0.000 0.500 0.500 1
S3 S 0.048 0.000 0.642 1
S4 S 0.048 0.000 0.858 1
S5 S 0.226 0.000 0.071 1
S6 S 0.226 0.000 0.429 1

---

(5)
# Ce5Ga2Fe (PBE-GGA, optimized geometry)
# - final energy (eV/cell) = -91.287
# - Fermi-level density of states (states/eV/atom) = 2.01
# - crystal system = monoclinic
# - ΔH_f (0 K) (kJ/mol of formula units) = -141
data_Ce5Ga2Fe
_chemical_formula_sum 'Ce10 Ga4 Fe2'
_cell_length_a 9.868
_cell_length_b 7.332
_cell_length_c 6.845
_cell_angle_alpha 90.00
_cell_angle_beta 130.83
_cell_angle_gamma 90.00
_space_group_name_H-M_alt 'C 1 m 1'
_space_group_IT_number 8
loop_
_space_group_symop_operation_xyz
'x,y,z'
'x,-y,z'
'x+1/2,y+1/2,z'
'x+1/2,-y+1/2,z'
loop_
_atom_site_label
_atom_site_type_symbol
_atom_site_fract_x
_atom_site_fract_y
_atom_site_fract_z
_atom_site_occupancy
Ce1 Ce 0.000 0.000 0.000 1
Ce2 Ce 0.295 0.239 0.641 1
Ce3 Ce 0.326 0.230 0.175 1
Ga1 Ga 0.082 0.500 0.147 1
Ga2 Ga 0.083 0.500 0.706 1
Fe1 Fe 0.445 0.500 0.411 1

---

(6)
# Li2Ag2P (PBE-GGA, optimized geometry)
# - final energy (eV/cell) = -30.917
# - ΔE to the lowest computed polymorph (meV/atom) = 0.0
# - Fermi-level density of states (states/eV/atom) = 0.19
# - crystal system = tetragonal
# - ΔH_f (0 K) (kJ/mol of formula units) = -50
data_Li2Ag2P
_chemical_formula_sum 'Li4 Ag4 P2'
_cell_length_a 6.084
_cell_length_b 6.084
_cell_length_c 4.175
_cell_angle_alpha 90.00
_cell_angle_beta 90.00
_cell_angle_gamma 90.00
_space_group_name_H-M_alt 'P 4/m b m'
_space_group_IT_number 127
_space_group_name_Hall '-P 4 2ab'
loop_
_atom_site_label
_atom_site_type_symbol
_atom_site_fract_x
_atom_site_fract_y
_atom_site_fract_z
_atom_site_occupancy
Li1 Li 0.142 0.358 0.000 1
Ag1 Ag 0.171 0.671 0.500 1
P1 P 0.000 0.000 0.000 1

---

(7)
# Ba6Bi3O2 (PBE-GGA, optimized geometry)
# - final energy (eV/cell) = -98.798
# - Fermi-level density of states (states/eV/atom) = 0.66
# - crystal system = tetragonal
# - uncorrected formation energy (eV/atom) = -1.48
data_Ba6Bi3O2
_chemical_formula_sum 'Ba12 Bi6 O4'
_cell_length_a 5.399
_cell_length_b 5.399
_cell_length_c 28.735
_cell_angle_alpha 90.00
_cell_angle_beta 90.00
_cell_angle_gamma 90.00
_space_group_name_H-M_alt 'I 4/m m m'
_space_group_IT_number 139
_space_group_name_Hall '-I 4 2'
loop_
_atom_site_label
_atom_site_type_symbol
_atom_site_fract_x
_atom_site_fract_y
_atom_site_fract_z
_atom_site_occupancy
Ba1 Ba 0.000 0.000 0.195 1
Ba2 Ba 0.000 0.500 0.086 1
Bi1 Bi 0.000 0.000 0.325 1
Bi2 Bi 0.000 0.000 0.500 1
O1 O 0.000 0.000 0.105 1

---

(8)
# HoIn2Ni2 (PBE-GGA, optimized geometry)
# - final energy (eV/cell) = -46.648
# - Fermi-level density of states (states/eV/atom) = 0.49
# - crystal system = monoclinic
# - ΔH_f (0 K) (kJ/mol of formula units) = -165
data_HoIn2Ni2
_chemical_formula_sum 'Ho2 In4 Ni4'
_cell_length_a 5.112
_cell_length_b 4.488
_cell_length_c 8.772
_cell_angle_alpha 90.00
_cell_angle_beta 106.24
_cell_angle_gamma 90.00
_space_group_name_H-M_alt 'P 1 21/m 1'
_space_group_IT_number 11
loop_
_space_group_symop_operation_xyz
'x,y,z'
'-x,-y,-z'
'-x,y+1/2,-z'
'x,-y+1/2,z'
loop_
_atom_site_label
_atom_site_type_symbol
_atom_site_fract_x
_atom_site_fract_y
_atom_site_fract_z
_atom_site_occupancy
Ho1 Ho 0.208 0.250 0.265 1
In1 In 0.208 0.250 0.627 1
In2 In 0.355 0.750 0.033 1
Ni1 Ni 0.103 0.250 0.908 1
Ni2 Ni 0.344 0.750 0.470 1

---

Look up the final energy of the third one. -58.639 eV/cell

---

Copy entry 3 word for word.
# Na2BiPb2 (PBE-GGA, optimized geometry)
# - final energy (eV/cell) = -58.639
# - ΔE to the lowest computed polymorph (meV/atom) = 0.0
# - Fermi-level density of states (states/eV/atom) = 0.36
# - crystal system = monoclinic
# - ΔH_f (0 K) (kJ/mol of formula units) = -70
data_Na2BiPb2
_chemical_formula_sum 'Na8 Bi4 Pb8'
_cell_length_a 12.358
_cell_length_b 5.665
_cell_length_c 9.429
_cell_angle_alpha 90.00
_cell_angle_beta 108.44
_cell_angle_gamma 90.00
_space_group_name_H-M_alt 'C 1 2/m 1'
_space_group_IT_number 12
loop_
_space_group_symop_operation_xyz
'x,y,z'
'-x,-y,-z'
'-x,y,-z'
'x,-y,z'
'x+1/2,y+1/2,z'
'-x+1/2,-y+1/2,-z'
'-x+1/2,y+1/2,-z'
'x+1/2,-y+1/2,z'
loop_
_atom_site_label
_atom_site_type_symbol
_atom_site_fract_x
_atom_site_fract_y
_atom_site_fract_z
_atom_site_occupancy
Na1 Na 0.058 0.000 0.352 1
Na2 Na 0.162 0.000 0.044 1
Bi1 Bi 0.240 0.000 0.727 1
Pb1 Pb 0.017 0.500 0.844 1
Pb2 Pb 0.140 0.500 0.563 1

---

What is the formula in the seventh record? Ba6Bi3O2